This record from Alexandria describes a relaxed structure of Sb2IrBr. The functional is PBE.

Values from the calculation:
Formation energy from raw total energies ... -0.033 eV/atom
Offset from the most stable computed form ... 223.7 meV per atom
Magnetic moment ... 0.000 μB/atom
Fermi-level density of states ... 3.2 states/eV per cell

The structure in CIF format:
```
data_Sb2IrBr
_cell_length_a 17.429
_cell_length_b 3.729
_cell_length_c 3.271
_cell_angle_alpha 90.00
_cell_angle_beta 100.68
_cell_angle_gamma 90.00
_space_group_name_H-M_alt 'C 1 m 1'
_space_group_IT_number 8
loop_
_space_group_symop_operation_xyz
'x,y,z'
'x,-y,z'
'x+1/2,y+1/2,z'
'x+1/2,-y+1/2,z'
loop_
_atom_site_label
_atom_site_fract_x
_atom_site_fract_y
_atom_site_fract_z
_atom_site_occupancy
Sb1 0.000 0.000 0.000 1
Sb2 0.183 0.000 0.678 1
Ir1 0.068 0.500 0.567 1
Br1 0.347 0.500 0.852 1
```

This record from Alexandria describes a relaxed structure of Sb2IrBr. The functional is PBE.

Values from the calculation:
Formation energy from raw total energies ... -0.184 eV/atom
Offset from the most stable computed form ... 72.7 meV per atom
Magnetic moment ... 0.000 μB/atom
Fermi-level density of states ... 6.8 states/eV per cell

The structure in CIF format:
```
data_Sb2IrBr
_cell_length_a 3.9254
_cell_length_b 3.9254
_cell_length_c 22.9011
_cell_angle_alpha 90.00
_cell_angle_beta 90.00
_cell_angle_gamma 120.00
_space_group_name_H-M_alt 'R -3 m'
_space_group_IT_number 166
_space_group_name_Hall '-R 3 2"'
loop_
_atom_site_label
_atom_site_fract_x
_atom_site_fract_y
_atom_site_fract_z
_atom_site_occupancy
Sb1 0.0000 0.0000 0.2291 1
Ir1 0.0000 0.0000 0.5000 1
Br1 0.0000 0.0000 0.0000 1
```

This record from Alexandria describes a relaxed structure of Sb2IrBr. The functional is PBE.

Values from the calculation:
Formation energy from raw total energies ... 0.658 eV/atom
Offset from the most stable computed form ... 914.2 meV per atom
Magnetic moment ... 0.001 μB/atom
Fermi-level density of states ... 4.5 states/eV per cell

The structure in CIF format:
```
data_Sb2IrBr
_cell_length_a 3.258
_cell_length_b 4.618
_cell_length_c 6.262
_cell_angle_alpha 90.00
_cell_angle_beta 90.00
_cell_angle_gamma 90.00
_space_group_name_H-M_alt 'P m m m'
_space_group_IT_number 47
loop_
_space_group_symop_operation_xyz
'x,y,z'
'-x,-y,-z'
'-x,-y,z'
'x,y,-z'
'x,-y,-z'
'-x,y,z'
'-x,y,-z'
'x,-y,z'
loop_
_atom_site_label
_atom_site_fract_x
_atom_site_fract_y
_atom_site_fract_z
_atom_site_occupancy
Sb1 0.000 0.000 0.000 1
Sb2 0.500 0.000 0.500 1
Ir1 0.000 0.500 0.500 1
Br1 0.500 0.500 0.000 1
```

This record from Alexandria describes a relaxed structure of Sb2IrBr. The functional is PBE.

Values from the calculation:
Formation energy from raw total energies ... -0.256 eV/atom
Offset from the most stable computed form ... 0.0 meV per atom
Magnetic moment ... 0.000 μB/atom
Fermi-level density of states ... 3.4 states/eV per cell

The structure in CIF format:
```
data_Sb2IrBr
_cell_length_a 7.137
_cell_length_b 4.122
_cell_length_c 8.351
_cell_angle_alpha 90.00
_cell_angle_beta 106.74
_cell_angle_gamma 90.00
_space_group_name_H-M_alt 'C 1 2/m 1'
_space_group_IT_number 12
loop_
_space_group_symop_operation_xyz
'x,y,z'
'-x,-y,-z'
'-x,y,-z'
'x,-y,z'
'x+1/2,y+1/2,z'
'-x+1/2,-y+1/2,-z'
'-x+1/2,y+1/2,-z'
'x+1/2,-y+1/2,z'
loop_
_atom_site_label
_atom_site_fract_x
_atom_site_fract_y
_atom_site_fract_z
_atom_site_occupancy
Sb1 0.115 0.000 0.349 1
Ir1 0.000 0.500 0.500 1
Br1 0.000 0.000 0.000 1
```

This record from Alexandria describes a relaxed structure of Sb3IrBr. The functional is PBE.

Values from the calculation:
Formation energy from raw total energies ... 0.408 eV/atom
Offset from the most stable computed form ... 0.0 meV per atom
Magnetic moment ... 0.000 μB/atom
Fermi-level density of states ... 9.7 states/eV per cell

The structure in CIF format:
```
data_Sb3IrBr
_cell_length_a 5.262
_cell_length_b 5.262
_cell_length_c 5.262
_cell_angle_alpha 90.00
_cell_angle_beta 90.00
_cell_angle_gamma 90.00
_space_group_name_H-M_alt 'P m -3 m'
_space_group_IT_number 221
_space_group_name_Hall '-P 4 2 3'
loop_
_atom_site_label
_atom_site_fract_x
_atom_site_fract_y
_atom_site_fract_z
_atom_site_occupancy
Sb1 0.000 0.000 0.500 1
Ir1 0.000 0.000 0.000 1
Br1 0.500 0.500 0.500 1
```

This record from Alexandria describes a relaxed structure of Sb2IrBr. The functional is PBE.

Values from the calculation:
Formation energy from raw total energies ... 0.418 eV/atom
Offset from the most stable computed form ... 674.1 meV per atom
Magnetic moment ... 0.000 μB/atom
Fermi-level density of states ... 9.5 states/eV per cell

The structure in CIF format:
```
data_Sb2IrBr
_cell_length_a 6.981
_cell_length_b 6.981
_cell_length_c 6.981
_cell_angle_alpha 90.00
_cell_angle_beta 90.00
_cell_angle_gamma 90.00
_space_group_name_H-M_alt 'F m -3 m'
_space_group_IT_number 225
_space_group_name_Hall '-F 4 2 3'
loop_
_atom_site_label
_atom_site_fract_x
_atom_site_fract_y
_atom_site_fract_z
_atom_site_occupancy
Sb1 0.250 0.250 0.250 1
Ir1 0.000 0.000 0.000 1
Br1 0.000 0.000 0.500 1
```

This record from Alexandria describes a relaxed structure of Sb2IrBr. The functional is PBE.

Values from the calculation:
Formation energy from raw total energies ... 0.305 eV/atom
Offset from the most stable computed form ... 561.8 meV per atom
Magnetic moment ... 0.000 μB/atom
Fermi-level density of states ... 5.3 states/eV per cell

The structure in CIF format:
```
data_Sb2IrBr
_cell_length_a 3.247
_cell_length_b 4.888
_cell_length_c 11.974
_cell_angle_alpha 90.00
_cell_angle_beta 90.00
_cell_angle_gamma 90.00
_space_group_name_H-M_alt 'I m m m'
_space_group_IT_number 71
_space_group_name_Hall '-I 2 2'
loop_
_atom_site_label
_atom_site_fract_x
_atom_site_fract_y
_atom_site_fract_z
_atom_site_occupancy
Sb1 0.000 0.000 0.185 1
Ir1 0.000 0.500 0.500 1
Br1 0.000 0.500 0.000 1
```

This record from Alexandria describes a relaxed structure of Sb3IrBr. The functional is PBE.

Values from the calculation:
Formation energy from raw total energies ... 1.669 eV/atom
Offset from the most stable computed form ... 1261.2 meV per atom
Magnetic moment ... 0.000 μB/atom
Fermi-level density of states ... 2.6 states/eV per cell

The structure in CIF format:
```
data_Sb3IrBr
_cell_length_a 5.284
_cell_length_b 5.284
_cell_length_c 5.284
_cell_angle_alpha 90.00
_cell_angle_beta 90.00
_cell_angle_gamma 90.00
_space_group_name_H-M_alt 'P m -3 m'
_space_group_IT_number 221
_space_group_name_Hall '-P 4 2 3'
loop_
_atom_site_label
_atom_site_fract_x
_atom_site_fract_y
_atom_site_fract_z
_atom_site_occupancy
Sb1 0.000 0.000 0.500 1
Ir1 0.500 0.500 0.500 1
Br1 0.000 0.000 0.000 1
```